PmDyMnAl, relaxed, DFT PBE; formation energy from the elements = -0.044 eV/atom; D(E_F) = 4.559 states/eV/cell; V = 24.05 Å³ per atom; symmetry = F-43m (216)
1.0
0.000 3.637 3.637
3.637 0.000 3.637
3.637 3.637 0.000
Pm Dy Mn Al
1 1 1 1
direct
0.000 0.000 0.000
0.500 0.500 0.500
0.250 0.250 0.250
0.750 0.750 0.750